A | Computed, not measured: a relaxed InCuAgHg crystal at the PBE-GGA level of DFT.

Cell: 4.759 4.759 4.759 Å, 60.00 60.00 60.00°
Fractional positions:
Cu 0.750 0.750 0.750
In 0.000 0.000 0.000
Ag 0.250 0.250 0.250
Hg 0.500 0.500 0.500

- space group = F-43m



B | Computed, not measured: a relaxed InCuAgHg crystal at the PBE-GGA level of DFT.

Cell: 4.770 4.770 4.770 Å, 60.00 60.00 60.00°
Fractional positions:
Hg 0.250 0.250 0.250
In 0.000 0.000 0.000
Ag 0.500 0.500 0.500
Cu 0.750 0.750 0.750

- space group = F-43m



Which one sits at the top of the stability order? A does.



A | Computed, not measured: a relaxed HoCuAg crystal at the PBE-GGA level of DFT.

Cell: 4.653 4.653 4.653 Å, 60.00 60.00 60.00°
Fractional positions:
Cu 0.250 0.250 0.250
Ag 0.750 0.750 0.750
Ho 0.000 0.000 0.000

- space group = F-43m



B | Computed, not measured: a relaxed HoCuAg crystal at the PBE-GGA level of DFT.

Cell: 4.520 4.520 4.520 Å, 60.00 60.00 60.00°
Fractional positions:
Ag 0.250 0.250 0.250
Cu 0.000 0.000 0.000
Ho 0.750 0.750 0.750

- space group = F-43m



Which one sits at the top of the stability order? B does.



A | Computed, not measured: a relaxed CuAgI2 crystal at the PBE-GGA level of DFT.

Cell: 4.458 4.458 6.393 Å, 90.00 90.00 90.00°
Fractional positions:
Cu 0.500 0.500 0.000
I 0.500 0.000 0.223
Ag 0.000 0.000 0.500
I 0.000 0.500 0.777

- space group = P-4m2



B | Computed, not measured: a relaxed CuAgI2 crystal at the PBE-GGA level of DFT.

Cell: 4.446 4.446 7.427 Å, 90.00 90.00 120.00°
Fractional positions:
I 0.000 0.000 0.608
Cu 0.333 0.667 0.505
I 0.333 0.667 0.151
Ag 0.000 0.000 0.987

- space group = P3m1



Which one sits at the top of the stability order? A does.



A | Computed, not measured: a relaxed LiCuSiAg crystal at the PBE-GGA level of DFT.

Cell: 4.261 4.261 4.261 Å, 60.00 60.00 60.00°
Fractional positions:
Ag 0.250 0.250 0.250
Cu 0.750 0.750 0.750
Si 0.000 0.000 0.000
Li 0.500 0.500 0.500

- space group = F-43m



B | Computed, not measured: a relaxed LiCuSiAg crystal at the PBE-GGA level of DFT.

Cell: 4.283 4.283 4.283 Å, 60.00 60.00 60.00°
Fractional positions:
Ag 0.000 0.000 0.000
Li 0.750 0.750 0.750
Si 0.500 0.500 0.500
Cu 0.250 0.250 0.250

- space group = F-43m



Which one sits at the top of the stability order? A does.



A | Computed, not measured: a relaxed LiTlCuAg crystal at the PBE-GGA level of DFT.

Cell: 4.566 4.566 4.566 Å, 60.00 60.00 60.00°
Fractional positions:
Ag 0.500 0.500 0.500
Cu 0.750 0.750 0.750
Tl 0.000 0.000 0.000
Li 0.250 0.250 0.250

- space group = F-43m



B | Computed, not measured: a relaxed LiTlCuAg crystal at the PBE-GGA level of DFT.

Cell: 4.611 4.611 4.611 Å, 60.00 60.00 60.00°
Fractional positions:
Tl 0.000 0.000 0.000
Ag 0.250 0.250 0.250
Li 0.500 0.500 0.500
Cu 0.750 0.750 0.750

- space group = F-43m



Which one sits at the top of the stability order? A does.



A | Computed, not measured: a relaxed LuCuAg crystal at the PBE-GGA level of DFT.

Cell: 4.611 4.611 4.611 Å, 60.00 60.00 60.00°
Fractional positions:
Ag 0.250 0.250 0.250
Lu 0.000 0.000 0.000
Cu 0.750 0.750 0.750

- space group = F-43m



B | Computed, not measured: a relaxed LuCuAg crystal at the PBE-GGA level of DFT.

Cell: 4.470 4.470 4.470 Å, 60.00 60.00 60.00°
Fractional positions:
Ag 0.250 0.250 0.250
Lu 0.750 0.750 0.750
Cu 0.000 0.000 0.000

- space group = F-43m



Which one sits at the top of the stability order? B does.



A | Computed, not measured: a relaxed LuCuSiAg crystal at the PBE-GGA level of DFT.

Cell: 4.589 4.589 4.589 Å, 60.00 60.00 60.00°
Fractional positions:
Si 0.000 0.000 0.000
Ag 0.250 0.250 0.250
Cu 0.750 0.750 0.750
Lu 0.500 0.500 0.500

- space group = F-43m



B | Computed, not measured: a relaxed LuCuSiAg crystal at the PBE-GGA level of DFT.

Cell: 4.625 4.625 4.625 Å, 60.00 60.00 60.00°
Fractional positions:
Ag 0.500 0.500 0.500
Cu 0.750 0.750 0.750
Si 0.000 0.000 0.000
Lu 0.250 0.250 0.250

- space group = F-43m



Which one sits at the top of the stability order? A does.



A | Computed, not measured: a relaxed LuCuAgSn crystal at the PBE-GGA level of DFT.

Cell: 4.790 4.790 4.790 Å, 60.00 60.00 60.00°
Fractional positions:
Ag 0.250 0.250 0.250
Sn 0.000 0.000 0.000
Cu 0.750 0.750 0.750
Lu 0.500 0.500 0.500

- space group = F-43m



B | Computed, not measured: a relaxed LuCuAgSn crystal at the PBE-GGA level of DFT.

Cell: 4.834 4.834 4.834 Å, 60.00 60.00 60.00°
Fractional positions:
Lu 0.250 0.250 0.250
Ag 0.500 0.500 0.500
Sn 0.000 0.000 0.000
Cu 0.750 0.750 0.750

- space group = F-43m



Which one sits at the top of the stability order? A does.